Entry 1:
The following is a GGA-PBE calculation of Ba3Al3As5 after structural relaxation, from Alexandria.

Crystal system = trigonal

Unit cell a=13.3108 b=13.3108 c=13.3108 alpha=69.47 beta=69.47 gamma=69.47
Fractional coordinates of all 66 atoms:
Ba  0.1434  0.2235  0.6508
Ba  0.6508  0.1434  0.2235
Ba  0.2235  0.6508  0.1434
Ba  0.1508  0.7235  0.6434
Ba  0.6434  0.1508  0.7235
Ba  0.7235  0.6434  0.1508
Ba  0.8566  0.7765  0.3492
Ba  0.3492  0.8566  0.7765
Ba  0.7765  0.3492  0.8566
Ba  0.8492  0.2765  0.3566
Ba  0.3566  0.8492  0.2765
Ba  0.2765  0.3566  0.8492
Ba  0.3965  0.3965  0.3965
Ba  0.8965  0.8965  0.8965
Ba  0.6035  0.6035  0.6035
Ba  0.1035  0.1035  0.1035
Ba  0.2500  0.2500  0.2500
Ba  0.7500  0.7500  0.7500
Al  0.0792  0.5723  0.4947
Al  0.4947  0.0792  0.5723
Al  0.5723  0.4947  0.0792
Al  0.9947  0.0723  0.5792
Al  0.5792  0.9947  0.0723
Al  0.0723  0.5792  0.9947
Al  0.9208  0.4277  0.5053
Al  0.5053  0.9208  0.4277
Al  0.4277  0.5053  0.9208
Al  0.0053  0.9277  0.4208
Al  0.4208  0.0053  0.9277
Al  0.9277  0.4208  0.0053
Al  0.9778  0.5222  0.2500
Al  0.2500  0.9778  0.5222
Al  0.5222  0.2500  0.9778
Al  0.7500  0.0222  0.4778
Al  0.4778  0.7500  0.0222
Al  0.0222  0.4778  0.7500
As  0.1126  0.4487  0.3738
As  0.3738  0.1126  0.4487
As  0.4487  0.3738  0.1126
As  0.8738  0.9487  0.6126
As  0.6126  0.8738  0.9487
As  0.9487  0.6126  0.8738
As  0.8874  0.5513  0.6262
As  0.6262  0.8874  0.5513
As  0.5513  0.6262  0.8874
As  0.1262  0.0513  0.3874
As  0.3874  0.1262  0.0513
As  0.0513  0.3874  0.1262
As  0.2079  0.4690  0.6143
As  0.6143  0.2079  0.4690
As  0.4690  0.6143  0.2079
As  0.1143  0.9690  0.7079
As  0.7079  0.1143  0.9690
As  0.9690  0.7079  0.1143
As  0.7921  0.5310  0.3857
As  0.3857  0.7921  0.5310
As  0.5310  0.3857  0.7921
As  0.8857  0.0310  0.2921
As  0.2921  0.8857  0.0310
As  0.0310  0.2921  0.8857
As  0.6185  0.8815  0.2500
As  0.2500  0.6185  0.8815
As  0.8815  0.2500  0.6185
As  0.7500  0.3815  0.1185
As  0.1185  0.7500  0.3815
As  0.3815  0.1185  0.7500


Entry 2:
The following is a GGA-PBE calculation of Ca5MgZn after structural relaxation, from Alexandria.

ΔE to the lowest computed polymorph = 97 meV/atom
Crystal system = tetragonal

Unit cell a=5.5820 b=5.5820 c=8.0084 alpha=90.00 beta=90.00 gamma=90.00
Fractional coordinates of all 7 atoms:
Ca  0.5000  0.5000  0.0000
Ca  0.0000  0.5000  0.2577
Ca  0.5000  0.0000  0.2577
Ca  0.0000  0.5000  0.7423
Ca  0.5000  0.0000  0.7423
Mg  0.5000  0.5000  0.5000
Zn  0.0000  0.0000  0.0000


Entry 3:
The following is a GGA-PBE calculation of K2AgGe after structural relaxation, from Alexandria.

Crystal system = tetragonal

Unit cell a=12.9228 b=12.9228 c=9.4496 alpha=46.86 beta=46.86 gamma=90.00
Fractional coordinates of all 8 atoms:
Ge  0.5000  0.5000  0.0000
Ge  0.2500  0.7500  0.5000
K  0.8468  0.1250  0.2500
K  0.9032  0.6250  0.2500
K  0.3750  0.1532  0.7500
K  0.8750  0.0968  0.7500
Ag  0.0000  0.0000  0.0000
Ag  0.7500  0.2500  0.5000


Number 1: electronic total energy -0.3344 Ry per atom, volume 30.26 A^3/atom, energy of formation from the pure elements -892 meV/atom. Number 2: electronic total energy -0.1303 Ry per atom, volume 35.65 A^3/atom, energy of formation from the pure elements 67 meV/atom. Number 3: electronic total energy -0.1706 Ry per atom, volume 50.25 A^3/atom, energy of formation from the pure elements 94 meV/atom.